1.
{
  "formula": "Ba3MgCo",
  "functional": "PBE",
  "state": "optimized geometry",
  "lattice": [[5.958, 0.000, 0.000], [0.000, 5.958, 0.000], [0.000, 0.000, 5.958]],
  "species": ["Ba", "Ba", "Ba", "Mg", "Co"],
  "fractional_positions": [[0.000, 0.000, 0.500], [0.500, 0.000, 0.000], [0.000, 0.500, 0.000], [0.500, 0.500, 0.500], [0.000, 0.000, 0.000]],
  "e_form_mev_per_atom": 237.2,
  "relative_energy_mev_per_atom": 0,
  "final_energy_ev_per_atom": -2.657,
  "sg": "Pm-3m, No. 221"
}

=====

2.
{
  "formula": "Np2Br8F",
  "functional": "PBE",
  "state": "optimized geometry",
  "lattice": [[5.526, 0.445, 1.122], [1.287, 9.334, 4.122], [0.797, -0.048, 10.253]],
  "species": ["Br", "Br", "Br", "Br", "Br", "Br", "Br", "Br", "F", "Np", "Np"],
  "fractional_positions": [[0.135, 0.100, 0.629], [0.865, 0.900, 0.371], [0.135, 0.629, 0.100], [0.703, 0.300, 0.300], [0.625, 0.874, 0.874], [0.865, 0.371, 0.900], [0.375, 0.126, 0.126], [0.297, 0.700, 0.700], [0.000, 0.000, 0.000], [0.863, 0.138, 0.138], [0.137, 0.862, 0.862]],
  "e_form_raw_ev_per_fu": -14.9,
  "final_energy_ev_per_atom": -5.091,
  "sg": "C2/m, No. 12"
}

=====

3.
{
  "formula": "SrCuSi2",
  "functional": "PBE",
  "state": "optimized geometry",
  "lattice": [[6.276, 0.032, 0.020], [4.991, 3.806, 0.020], [4.991, 1.700, 3.405]],
  "species": ["Si", "Si", "Sr", "Cu"],
  "fractional_positions": [[0.040, 0.040, 0.040], [0.460, 0.460, 0.460], [0.250, 0.250, 0.250], [0.750, 0.750, 0.750]],
  "e_form_raw_ev_per_fu": -1.1,
  "final_energy_ev_per_atom": -4.422,
  "sg": "R-3m, No. 166"
}

=====

4.
{
  "formula": "NaTcPt",
  "functional": "PBE",
  "state": "optimized geometry",
  "lattice": [[7.120, 0.000, 0.000], [0.000, 2.751, 0.000], [-1.153, 0.000, 4.984]],
  "species": ["Pt", "Pt", "Tc", "Tc", "Na", "Na"],
  "fractional_positions": [[0.637, 0.500, 0.427], [0.292, 0.000, 0.114], [0.970, 0.000, 0.646], [0.253, 0.500, 0.592], [0.608, 0.000, 0.905], [0.947, 0.500, 0.136]],
  "e_form_mev_per_atom": 249.6,
  "relative_energy_mev_per_atom": 202,
  "final_energy_ev_per_atom": -5.659,
  "sg": "Pm, No. 6"
}

=====

5.
{
  "formula": "BaGaH3",
  "functional": "PBE",
  "state": "optimized geometry",
  "lattice": [[-3.808, 0.822, -2.313], [3.792, 2.690, -5.287], [0.326, -6.624, 1.551]],
  "species": ["H", "H", "H", "H", "H", "H", "Ga", "Ga", "Ba", "Ba"],
  "fractional_positions": [[0.193, 0.373, 0.991], [0.595, 0.252, 0.737], [0.938, 0.553, 0.482], [0.939, 0.120, 0.482], [0.192, 0.808, 0.991], [0.595, 0.675, 0.737], [0.908, 0.137, 0.736], [0.908, 0.789, 0.736], [0.786, 0.666, 0.141], [0.379, 0.261, 0.332]],
  "relative_energy_mev_per_atom": 0,
  "final_energy_ev_per_atom": -3.216,
  "sg": "Cm, No. 8"
}

=====

6.
{
  "formula": "TbTm4Ni2",
  "functional": "PBE",
  "state": "optimized geometry",
  "lattice": [[3.853, 0.000, 0.000], [1.927, 3.337, 0.000], [1.927, 1.112, 14.353]],
  "species": ["Ni", "Ni", "Tm", "Tm", "Tm", "Tm", "Tb"],
  "fractional_positions": [[0.400, 0.400, 0.799], [0.600, 0.600, 0.201], [0.300, 0.300, 0.099], [0.899, 0.899, 0.303], [0.700, 0.700, 0.901], [0.101, 0.101, 0.697], [0.500, 0.500, 0.500]],
  "e_form_mev_per_atom": -160.3,
  "relative_energy_mev_per_atom": 20,
  "final_energy_ev_per_atom": -5.029,
  "sg": "R-3m, No. 166"
}